A plane-wave DFT calculation with PBE was carried out for a relaxed CaFe2Br crystal.

Cell lengths 8.0758, 8.0758, 5.3358 Å; angles 90.00, 90.00, 90.00 degrees
Closest atoms and distances in Å follow each position.
Space group I-42d (No. 122)
Asymmetric unit:
1 Ca 0.0000 0.0000 0.0000 (multiplicity 4)  2 Br 2.67
2 Fe 0.2030 0.2500 0.6250 (multiplicity 8)  2 Br 2.68, 2 Fe 2.77
3 Br 0.0000 0.0000 0.5000 (multiplicity 4)  2 Ca 2.67, 4 Fe 2.68

Summary:
* total moment: 23.64 Bohr magnetons per cell
* crystal system: tetragonal
* volume: 21.750 A^3/atom
* excess energy over the best structure of this formula in the dataset: 560 meV per atom
* uncorrected formation energy: 0.52 eV/atom

---

A plane-wave DFT calculation with PBE was carried out for a relaxed CaFe2Br crystal.

Cell lengths 3.6553, 4.4533, 5.6782 Å; angles 90.00, 90.00, 90.00 degrees
Closest atoms and distances in Å follow each position.
Space group Pmmm (No. 47)
Asymmetric unit:
1 Ca 0.0000 0.0000 0.0000 (multiplicity 1)  2 Br 2.84, 8 Fe 3.07
2 Fe 0.5000 0.5000 0.1882 (multiplicity 2)  1 Fe 2.14
3 Br 0.0000 0.0000 0.5000 (multiplicity 1)  2 Ca 2.84

Summary:
* total moment: 5.26 Bohr magnetons per cell
* crystal system: orthorhombic
* volume: 23.108 A^3/atom
* excess energy over the best structure of this formula in the dataset: 490 meV per atom
* uncorrected formation energy: 0.45 eV/atom

---

A plane-wave DFT calculation with PBE was carried out for a relaxed CaFe2Br crystal.

Cell lengths 11.4811, 3.3395, 4.6047 Å; angles 90.00, 103.47, 90.00 degrees
Closest atoms and distances in Å follow each position.
Space group C2/m (No. 12)
Asymmetric unit:
1 Ca 0.0000 0.0000 0.0000 (multiplicity 2)  4 Br 2.84, 2 Fe 3.08
2 Fe 0.2239 0.5000 0.8132 (multiplicity 4)  2 Fe 2.37, 1 Br 2.64
3 Br 0.0000 0.5000 0.5000 (multiplicity 2)  2 Fe 2.64, 4 Ca 2.84

Summary:
* total moment: 10.76 Bohr magnetons per cell
* crystal system: monoclinic
* volume: 21.462 A^3/atom
* excess energy over the best structure of this formula in the dataset: 220 meV per atom
* uncorrected formation energy: 0.18 eV/atom